Entry 1:
The following is a DFT calculation (PBE) of CsP2IrCl after structural relaxation.

Output
The uncorrected formation energy comes out at -24.44 kJ/mol of atoms. As for the volume: 198.9 Å³ per cell.

Lattice parameters (Å, degrees): 4.507 4.507 9.791 90.00 90.00 90.00
Positions (direct):
P1 0.500 0.000 0.000
Cl1 0.000 0.000 0.500
Ir1 0.000 0.000 0.000
P2 0.000 0.500 0.000
Cs1 0.500 0.500 0.500

***

Entry 2:
The following is a DFT calculation (PBE) of NdHfS2O after structural relaxation.

Output
The uncorrected formation energy comes out at -208.06 kJ/mol of atoms. As for the volume: 192.1 Å³ per cell.

Lattice parameters (Å, degrees): 3.796 3.796 13.330 90.00 90.00 90.00
Positions (direct):
O1 0.000 0.000 0.500
Nd1 0.000 0.500 0.403
S1 0.500 0.000 0.901
S2 0.000 0.500 0.718
S3 0.500 0.000 0.282
Hf1 0.500 0.000 0.101
O2 0.500 0.500 0.500
Nd2 0.500 0.000 0.597
S4 0.000 0.500 0.099
Hf2 0.000 0.500 0.899